# PBE Tm2Re3Si5, relaxed
# Calculated density ... 10.475 g/cm³
# Final energy ... -7.906 eV per atom
# Space-group type ... P4/mnc
# Volume ... 16.437 Å³/atom
data_Tm2Re3Si5
_space_group_name_H-M_alt 'P 1'
_space_group_IT_number 1
_space_group_name_Hall 'P 1'
_cell_length_a 10.969
_cell_length_b 10.969
_cell_length_c 5.465
_cell_angle_alpha 90.00
_cell_angle_beta 90.00
_cell_angle_gamma 90.00
loop_
_atom_site_label
_atom_site_fract_x
_atom_site_fract_y
_atom_site_fract_z
Tm1 0.078 0.237 0.000
Tm2 0.237 0.922 0.000
Tm3 0.263 0.422 0.500
Tm4 0.422 0.737 0.500
Tm5 0.578 0.263 0.500
Tm6 0.737 0.578 0.500
Tm7 0.763 0.078 0.000
Tm8 0.922 0.763 0.000
Re1 0.000 0.500 0.250
Re2 0.000 0.500 0.750
Re3 0.123 0.853 0.500
Re4 0.147 0.123 0.500
Re5 0.353 0.623 0.000
Re6 0.377 0.353 0.000
Re7 0.500 0.000 0.250
Re8 0.500 0.000 0.750
Re9 0.623 0.647 0.000
Re10 0.647 0.377 0.000
Re11 0.853 0.877 0.500
Re12 0.877 0.147 0.500
Si1 0.000 0.000 0.238
Si2 0.000 0.000 0.762
Si3 0.029 0.314 0.500
Si4 0.172 0.672 0.250
Si5 0.172 0.672 0.750
Si6 0.186 0.471 0.000
Si7 0.314 0.971 0.500
Si8 0.328 0.172 0.250
Si9 0.328 0.172 0.750
Si10 0.471 0.814 0.000
Si11 0.500 0.500 0.262
Si12 0.500 0.500 0.738
Si13 0.529 0.186 0.000
Si14 0.672 0.828 0.250
Si15 0.672 0.828 0.750
Si16 0.686 0.029 0.500
Si17 0.814 0.529 0.000
Si18 0.828 0.328 0.250
Si19 0.828 0.328 0.750
Si20 0.971 0.686 0.500